Entry from Alexandria via LeMat-Bulk: crystalline SrY2W at its relaxed geometry (GGA-PBE).

Structure (extended XYZ):
```
4
Lattice="3.4415 -4.7149 0.0000 3.4415 4.7149 0.0000 0.0000 0.0000 3.3525" Properties=species:S:1:pos:R:3 pbc="T T T"
Sr 0.0000 0.0000 0.0000
Y 1.7207 2.3575 1.6763
Y 1.7207 -2.3575 1.6763
W 3.4415 0.0000 0.0000
```

DFT formation energy: 3.4 eV per formula unit
crystal system: orthorhombic
relative energy among the computed polymorphs: 0.425 eV per atom

Entry from Alexandria via LeMat-Bulk: crystalline AgBi2SbS5 at its relaxed geometry (GGA-PBE).

Structure (extended XYZ):
```
18
Lattice="1.9876 -8.5034 0.0000 1.9876 8.5034 0.0000 0.0000 0.0000 13.7494" Properties=species:S:1:pos:R:3 pbc="T T T"
Ag 1.9876 7.7493 6.8747
Ag 1.9876 -7.7493 0.0000
Bi 1.9876 2.1334 4.0171
Bi 1.9876 1.4887 9.7927
Bi 1.9876 -1.4887 2.9180
Bi 1.9876 -2.1334 10.8918
Sb 1.9876 3.9222 0.7026
Sb 1.9876 -3.9222 7.5773
S 1.9876 8.3758 4.4889
S 1.9876 6.4108 1.0008
S 1.9876 4.7766 9.9393
S 1.9876 4.5741 5.9177
S 1.9876 0.8230 1.6288
S 1.9876 -0.8230 8.5035
S 1.9876 -4.5741 12.7924
S 1.9876 -4.7766 3.0646
S 1.9876 -6.4108 7.8755
S 1.9876 -8.3758 11.3636
```

crystal system: orthorhombic
formation energy from raw total energies: -0.238 eV/atom

Repeat the second record exactly.
Entry from Alexandria via LeMat-Bulk: crystalline AgBi2SbS5 at its relaxed geometry (GGA-PBE).

Structure (extended XYZ):
```
18
Lattice="1.9876 -8.5034 0.0000 1.9876 8.5034 0.0000 0.0000 0.0000 13.7494" Properties=species:S:1:pos:R:3 pbc="T T T"
Ag 1.9876 7.7493 6.8747
Ag 1.9876 -7.7493 0.0000
Bi 1.9876 2.1334 4.0171
Bi 1.9876 1.4887 9.7927
Bi 1.9876 -1.4887 2.9180
Bi 1.9876 -2.1334 10.8918
Sb 1.9876 3.9222 0.7026
Sb 1.9876 -3.9222 7.5773
S 1.9876 8.3758 4.4889
S 1.9876 6.4108 1.0008
S 1.9876 4.7766 9.9393
S 1.9876 4.5741 5.9177
S 1.9876 0.8230 1.6288
S 1.9876 -0.8230 8.5035
S 1.9876 -4.5741 12.7924
S 1.9876 -4.7766 3.0646
S 1.9876 -6.4108 7.8755
S 1.9876 -8.3758 11.3636
```

crystal system: orthorhombic
formation energy from raw total energies: -0.238 eV/atom